Entry 1:
# LaInS3 (PBE, optimized geometry)
# Formation energy without anion corrections   -0.90 eV per atom
# E   -24.57 eV/cell
data_LaInS3
_space_group_name_H-M_alt 'P m -3 m'
_space_group_IT_number 221
_space_group_name_Hall '-P 4 2 3'
_cell_length_a 4.964
_cell_length_b 4.964
_cell_length_c 4.964
_cell_angle_alpha 90.00
_cell_angle_beta 90.00
_cell_angle_gamma 90.00
loop_
_atom_site_label
_atom_site_type_symbol
_atom_site_fract_x
_atom_site_fract_y
_atom_site_fract_z
La1 La 0.000 0.000 0.000
In1 In 0.500 0.500 0.500
S1 S 0.000 0.500 0.500

=====

Entry 2:
# LaInS2 (PBE, optimized geometry)
# Formation energy without anion corrections   -1.41 eV per atom
# E   -64.68 eV/cell
data_LaInS2
_space_group_name_H-M_alt 'R 3 m'
_space_group_IT_number 160
_space_group_name_Hall 'R 3 -2"'
_cell_length_a 4.2652
_cell_length_b 4.2652
_cell_length_c 22.4308
_cell_angle_alpha 90.00
_cell_angle_beta 90.00
_cell_angle_gamma 120.00
loop_
_atom_site_label
_atom_site_type_symbol
_atom_site_fract_x
_atom_site_fract_y
_atom_site_fract_z
La1 La 0.0000 0.0000 0.0000
In1 In 0.0000 0.0000 0.8273
S1 S 0.0000 0.0000 0.4068
S2 S 0.0000 0.0000 0.6032

=====

Entry 3:
# LaIn6S8 (PBE, optimized geometry)
# Formation energy without anion corrections   -0.57 eV per atom
# E   -188.67 eV/cell
data_LaIn6S8
_space_group_name_H-M_alt 'R -3'
_space_group_IT_number 148
_space_group_name_Hall '-R 3'
_cell_length_a 10.6608
_cell_length_b 10.6608
_cell_length_c 11.4720
_cell_angle_alpha 90.00
_cell_angle_beta 90.00
_cell_angle_gamma 120.00
loop_
_atom_site_label
_atom_site_type_symbol
_atom_site_fract_x
_atom_site_fract_y
_atom_site_fract_z
La1 La 0.0000 0.0000 0.0000
In1 In 0.0604 0.8356 0.6040
S1 S 0.0000 0.0000 0.2615
S2 S 0.0001 0.2721 0.9050

=====

Entry 4:
# La4In2S (PBE, optimized geometry)
# Formation energy without anion corrections   -0.87 eV per atom
# E   -70.83 eV/cell
data_La4In2S
_space_group_name_H-M_alt 'C 1 2/m 1'
_space_group_IT_number 12
_cell_length_a 13.118
_cell_length_b 4.270
_cell_length_c 9.453
_cell_angle_alpha 90.00
_cell_angle_beta 122.52
_cell_angle_gamma 90.00
loop_
_space_group_symop_operation_xyz
'x,y,z'
'-x,-y,-z'
'-x,y,-z'
'x,-y,z'
'x+1/2,y+1/2,z'
'-x+1/2,-y+1/2,-z'
'-x+1/2,y+1/2,-z'
'x+1/2,-y+1/2,z'
loop_
_atom_site_label
_atom_site_type_symbol
_atom_site_fract_x
_atom_site_fract_y
_atom_site_fract_z
La1 La 0.087 0.000 0.350
La2 La 0.165 0.500 0.069
In1 In 0.125 0.500 0.661
S1 S 0.000 0.000 0.000

=====

Entry 5:
# LaInSeS2 (PBE, optimized geometry)
# Formation energy without anion corrections   -0.21 eV per atom
# E   -20.47 eV/cell
data_LaInSeS2
_space_group_name_H-M_alt 'P 4/m m m'
_space_group_IT_number 123
_space_group_name_Hall '-P 4 2'
_cell_length_a 4.983
_cell_length_b 4.983
_cell_length_c 5.240
_cell_angle_alpha 90.00
_cell_angle_beta 90.00
_cell_angle_gamma 90.00
loop_
_atom_site_label
_atom_site_type_symbol
_atom_site_fract_x
_atom_site_fract_y
_atom_site_fract_z
La1 La 0.000 0.000 0.000
In1 In 0.500 0.500 0.000
Se1 Se 0.500 0.500 0.500
S1 S 0.000 0.500 0.500

=====

Entry 6:
# LaIn2SnS4 (PBE, optimized geometry)
# Formation energy without anion corrections   -0.86 eV per atom
# E   -37.77 eV/cell
data_LaIn2SnS4
_space_group_name_H-M_alt 'P 1 2/m 1'
_space_group_IT_number 10
_cell_length_a 7.289
_cell_length_b 4.179
_cell_length_c 7.345
_cell_angle_alpha 90.00
_cell_angle_beta 109.19
_cell_angle_gamma 90.00
loop_
_space_group_symop_operation_xyz
'x,y,z'
'-x,-y,-z'
'-x,y,-z'
'x,-y,z'
loop_
_atom_site_label
_atom_site_type_symbol
_atom_site_fract_x
_atom_site_fract_y
_atom_site_fract_z
La1 La 0.000 0.000 0.000
In1 In 0.000 0.500 0.500
In2 In 0.500 0.000 0.500
Sn1 Sn 0.500 0.500 0.000
S1 S 0.238 0.500 0.227
S2 S 0.250 0.000 0.764

=====

Entry 7:
# LaIn4SnS8 (PBE, optimized geometry)
# Formation energy without anion corrections   -0.73 eV per atom
# E   -189.57 eV/cell
data_LaIn4SnS8
_space_group_name_H-M_alt 'R 3 m'
_space_group_IT_number 160
_space_group_name_Hall 'R 3 -2"'
_cell_length_a 7.8589
_cell_length_b 7.8589
_cell_length_c 21.1550
_cell_angle_alpha 90.00
_cell_angle_beta 90.00
_cell_angle_gamma 120.00
loop_
_atom_site_label
_atom_site_type_symbol
_atom_site_fract_x
_atom_site_fract_y
_atom_site_fract_z
La1 La 0.0000 0.0000 0.0000
In1 In 0.0000 0.0000 0.6247
In2 In 0.0001 0.5001 0.4986
Sn1 Sn 0.0000 0.0000 0.3710
S1 S 0.0000 0.0000 0.2257
S2 S 0.0000 0.0000 0.7659
S3 S 0.0174 0.5087 0.7592
S4 S 0.1754 0.3508 0.5731

=====

Entry 8:
# Sr2LaInS (PBE, optimized geometry)
# Formation energy without anion corrections   -0.88 eV per atom
# E   -19.53 eV/cell
data_Sr2LaInS
_space_group_name_H-M_alt 'P 4/m m m'
_space_group_IT_number 123
_space_group_name_Hall '-P 4 2'
_cell_length_a 5.638
_cell_length_b 5.638
_cell_length_c 5.636
_cell_angle_alpha 90.00
_cell_angle_beta 90.00
_cell_angle_gamma 90.00
loop_
_atom_site_label
_atom_site_type_symbol
_atom_site_fract_x
_atom_site_fract_y
_atom_site_fract_z
Sr1 Sr 0.000 0.500 0.000
La1 La 0.000 0.000 0.500
In1 In 0.500 0.500 0.500
S1 S 0.000 0.000 0.000